Record 1
The following is a PBE-GGA calculation of a relaxed CeMg5Rh6 crystal, from the Alexandria database.

VASP energy: -5.447 eV/atom
Total magnetization: 0.00 μB/f.u.
Density: 7.6 g cm⁻³
Space-group type: Cmmm
N(E_F): 3.877 states/eV/f.u.

Lattice parameters (Å, degrees): 7.0571 7.0571 6.3894 90.00 90.00 142.75
Element x y z (fractional)
Ce 0.0000 0.0000 0.0000
Mg 0.0000 0.0000 0.5000
Mg 0.3269 0.6731 0.0000
Mg 0.3321 0.6679 0.5000
Mg 0.6679 0.3321 0.5000
Mg 0.6731 0.3269 0.0000
Rh 0.1656 0.8344 0.2510
Rh 0.1656 0.8344 0.7490
Rh 0.5000 0.5000 0.2555
Rh 0.5000 0.5000 0.7445
Rh 0.8344 0.1656 0.2510
Rh 0.8344 0.1656 0.7490

Record 2
The following is a PBE-GGA calculation of a relaxed CeMg2Rh3 crystal, from the Alexandria database.

VASP energy: -5.864 eV/atom
Total magnetization: 0.00 μB/f.u.
Density: 8.0 g cm⁻³
Space-group type: P-3m1
N(E_F): 2.676 states/eV/f.u.

Lattice parameters (Å, degrees): 4.6211 4.6211 5.5580 90.00 90.00 120.00
Element x y z (fractional)
Ce 0.0000 0.0000 0.0000
Mg 0.3333 0.6667 0.6494
Mg 0.6667 0.3333 0.3506
Rh 0.0000 0.0000 0.5000
Rh 0.3333 0.6667 0.1693
Rh 0.6667 0.3333 0.8307

Record 3
The following is a PBE-GGA calculation of a relaxed CeMg3Rh2 crystal, from the Alexandria database.

VASP energy: -4.738 eV/atom
Total magnetization: 0.00 μB/f.u.
Density: 5.9 g cm⁻³
Space-group type: Pmc2_1
N(E_F): 4.781 states/eV/f.u.

Lattice parameters (Å, degrees): 3.9907 8.4354 7.0089 90.00 90.00 90.00
Element x y z (fractional)
Ce 0.0000 0.0978 0.0000
Ce 0.0000 0.9022 0.5000
Mg 0.0000 0.3239 0.6037
Mg 0.0000 0.6761 0.1037
Mg 0.5000 0.2004 0.3422
Mg 0.5000 0.4326 0.9167
Mg 0.5000 0.5674 0.4167
Mg 0.5000 0.7996 0.8422
Rh 0.0000 0.3700 0.2024
Rh 0.0000 0.6300 0.7024
Rh 0.5000 0.1078 0.7230
Rh 0.5000 0.8922 0.2230

Record 4
The following is a PBE-GGA calculation of a relaxed Ce2Mg2Rh3 crystal, from the Alexandria database.

VASP energy: -5.948 eV/atom
Total magnetization: 0.51 μB/f.u.
Density: 7.4 g cm⁻³
Space-group type: P2_1/c
N(E_F): 7.706 states/eV/f.u.

Lattice parameters (Å, degrees): 5.8421 7.4029 6.6509 90.00 91.73 90.00
Element x y z (fractional)
Ce 0.1500 0.1398 0.1709
Ce 0.1500 0.3602 0.6709
Ce 0.8500 0.6398 0.3291
Ce 0.8500 0.8602 0.8291
Mg 0.3814 0.6972 0.0053
Mg 0.3814 0.8028 0.5053
Mg 0.6186 0.1972 0.4947
Mg 0.6186 0.3028 0.9947
Rh 0.0000 0.0000 0.5000
Rh 0.0000 0.5000 0.0000
Rh 0.3347 0.0341 0.8318
Rh 0.3347 0.4659 0.3318
Rh 0.6653 0.5341 0.6682
Rh 0.6653 0.9659 0.1682

Record 5
The following is a PBE-GGA calculation of a relaxed Ce3MgRh4 crystal, from the Alexandria database.

VASP energy: -6.639 eV/atom
Total magnetization: 0.80 μB/f.u.
Density: 8.6 g cm⁻³
Space-group type: P1
N(E_F): 11.590 states/eV/f.u.

Lattice parameters (Å, degrees): 5.3113 5.6848 6.5061 71.98 82.36 62.86
Element x y z (fractional)
Ce 0.0000 0.0000 0.0000
Ce 0.1420 0.3960 0.3517
Ce 0.6432 0.8019 0.6955
Mg 0.3185 0.3922 0.8444
Rh 0.1490 0.8809 0.5325
Rh 0.5741 0.8955 0.1646
Rh 0.5945 0.4202 0.1316
Rh 0.6870 0.3974 0.5349

Record 6
The following is a PBE-GGA calculation of a relaxed CeMg3Rh3 crystal, from the Alexandria database.

VASP energy: -5.275 eV/atom
Total magnetization: 0.00 μB/f.u.
Density: 6.7 g cm⁻³
Space-group type: R3m
N(E_F): 3.150 states/eV/f.u.

Lattice parameters (Å, degrees): 5.5185 5.5185 5.5185 109.52 109.52 109.52
Element x y z (fractional)
Ce 0.0000 0.0000 0.0000
Mg 0.3938 0.3938 0.8148
Mg 0.3938 0.8148 0.3938
Mg 0.8148 0.3938 0.3938
Rh 0.3727 0.8886 0.8886
Rh 0.8886 0.3727 0.8886
Rh 0.8886 0.8886 0.3727

Record 7
The following is a PBE-GGA calculation of a relaxed Ce3MgRh crystal, from the Alexandria database.

VASP energy: -5.615 eV/atom
Total magnetization: 0.00 μB/f.u.
Density: 7.2 g cm⁻³
Space-group type: P6_3/mmc
N(E_F): 11.301 states/eV/f.u.

Lattice parameters (Å, degrees): 7.0636 7.0636 5.8458 90.00 90.00 120.00
Element x y z (fractional)
Ce 0.1989 0.3978 0.2500
Ce 0.1989 0.8011 0.2500
Ce 0.3978 0.1989 0.7500
Ce 0.6022 0.8011 0.2500
Ce 0.8011 0.1989 0.7500
Ce 0.8011 0.6022 0.7500
Mg 0.3333 0.6667 0.7500
Mg 0.6667 0.3333 0.2500
Rh 0.0000 0.0000 0.0000
Rh 0.0000 0.0000 0.5000

Record 8
The following is a PBE-GGA calculation of a relaxed CeMg5Rh2 crystal, from the Alexandria database.

VASP energy: -3.956 eV/atom
Total magnetization: 0.13 μB/f.u.
Density: 4.7 g cm⁻³
Space-group type: Immm
N(E_F): 6.080 states/eV/f.u.

Lattice parameters (Å, degrees): 6.7577 6.7577 6.7577 145.93 101.14 88.76
Element x y z (fractional)
Ce 0.0000 0.0000 0.0000
Mg 0.1552 0.3373 0.8179
Mg 0.4806 0.6627 0.8179
Mg 0.5000 0.0000 0.5000
Mg 0.5194 0.3373 0.1821
Mg 0.8448 0.6627 0.1821
Rh 0.2082 0.7082 0.5000
Rh 0.7918 0.2918 0.5000

Number 1: DFT formation energy -0.613 eV per atom. Number 2: DFT formation energy -0.668 eV per atom. Number 3: DFT formation energy -0.501 eV per atom. Number 4: DFT formation energy -0.647 eV per atom. Number 5: DFT formation energy -0.539 eV per atom. Number 6: DFT formation energy -0.593 eV per atom. Number 7: DFT formation energy -0.265 eV per atom. Number 8: DFT formation energy -0.380 eV per atom.